Density functional theory data (PBE) for a relaxed structure of CsNb3In.

The electronic total energy comes out at -0.3434 Ry per atom. For the magnetization, the calculation gives 0.75 μB/atom. Its energy above the most stable polymorph in this dataset is 0.00 eV per formula unit. Its formation energy is 2.088 eV per atom. The density of states at the Fermi level is 1.47 states/eV/atom.

The structure belongs to space group Pm-3m (No. 221); the cell edges are 5.3414, 5.3414 and 5.3414 Å and the angles 90.00°, 90.00° and 90.00°. The asymmetric unit holds Cs at (0.0000, 0.0000, 0.0000), Nb at (0.0000, 0.5000, 0.5000) and In at (0.5000, 0.5000, 0.5000).

Density functional theory data (PBE) for a relaxed structure of CsNb2InOs.

The electronic total energy comes out at -0.3074 Ry per atom. For the magnetization, the calculation gives 0.00 μB/atom. Its formation energy is 2.810 eV per atom. The density of states at the Fermi level is 1.04 states/eV/atom.

The structure belongs to space group P4/mmm (No. 123); the cell edges are 5.0473, 5.0473 and 4.9266 Å and the angles 90.00°, 90.00° and 90.00°. The asymmetric unit holds Cs at (0.0000, 0.0000, 0.0000), Nb at (0.0000, 0.5000, 0.0000), In at (0.5000, 0.5000, 0.5000) and Os at (0.0000, 0.0000, 0.5000).